Record 1
A relaxed TlCoCu2 crystal, computed with PBE. Values from VASP.

Structure (Quantum ESPRESSO input):
```
&SYSTEM
  ibrav = 0, nat = 4, ntyp = 3
/
ATOMIC_SPECIES
Tl 204.38 Tl.upf
Co 58.93 Co.upf
Cu 63.55 Cu.upf
CELL_PARAMETERS angstrom
0.000 3.068 3.068
3.068 0.000 3.068
3.068 3.068 0.000
ATOMIC_POSITIONS crystal
Tl 0.000 0.000 0.000
Co 0.250 0.250 0.250
Cu 0.500 0.500 0.500
Cu 0.750 0.750 0.750
```

Properties
Crystal system = cubic
Magnetic moment = 1.0 μB/cell
Density of states at the Fermi level = 1.118 states/eV per atom
DFT formation energy = 387 meV/atom

---

Record 2
A relaxed CsU2Cl8 crystal, computed with PBE. Values from VASP.

Structure (Quantum ESPRESSO input):
```
&SYSTEM
  ibrav = 0, nat = 11, ntyp = 3
/
ATOMIC_SPECIES
Cs 132.91 Cs.upf
U 238.03 U.upf
Cl 35.45 Cl.upf
CELL_PARAMETERS angstrom
-2.688 3.730 7.556
2.688 -3.730 7.556
2.688 3.730 -7.556
ATOMIC_POSITIONS crystal
Cs 0.000 0.000 0.000
U 0.341 0.341 0.000
U 0.659 0.659 0.000
Cl 0.048 0.948 0.587
Cl 0.285 0.500 0.785
Cl 0.360 0.461 0.413
Cl 0.395 0.895 0.500
Cl 0.605 0.105 0.500
Cl 0.640 0.052 0.101
Cl 0.715 0.500 0.215
Cl 0.952 0.539 0.899
```

Properties
Crystal system = orthorhombic
Magnetic moment = 5.0 μB/cell
Density of states at the Fermi level = 1.521 states/eV per atom
Calculated total energy = -5.198 eV/atom

---

Record 3
A relaxed Ba2PtCl crystal, computed with PBE. Values from VASP.

Structure (Quantum ESPRESSO input):
```
&SYSTEM
  ibrav = 0, nat = 4, ntyp = 3
/
ATOMIC_SPECIES
Ba 137.33 Ba.upf
Pt 195.08 Pt.upf
Cl 35.45 Cl.upf
CELL_PARAMETERS angstrom
0.000 3.881 3.881
3.881 0.000 3.881
3.881 3.881 0.000
ATOMIC_POSITIONS crystal
Ba 0.000 0.000 0.000
Ba 0.250 0.250 0.250
Pt 0.750 0.750 0.750
Cl 0.500 0.500 0.500
```

Properties
Crystal system = cubic
Magnetic moment = 0.0 μB/cell
Density of states at the Fermi level = 1.010 states/eV per atom
Calculated total energy = -3.482 eV/atom

---

Record 4
A relaxed BaPb3O crystal, computed with PBE. Values from VASP.

Structure (Quantum ESPRESSO input):
```
&SYSTEM
  ibrav = 0, nat = 5, ntyp = 3
/
ATOMIC_SPECIES
Ba 137.33 Ba.upf
Pb 207.20 Pb.upf
O 16.00 O.upf
CELL_PARAMETERS angstrom
6.423 0.000 0.000
0.000 6.423 0.000
0.000 0.000 6.423
ATOMIC_POSITIONS crystal
Ba 0.000 0.000 0.000
Pb 0.000 0.000 0.500
Pb 0.000 0.500 0.000
Pb 0.500 0.000 0.000
O 0.500 0.500 0.500
```

Properties
Crystal system = cubic
Magnetic moment = 0.0 μB/cell
Density of states at the Fermi level = 3.363 states/eV per atom
Calculated total energy = -2.227 eV/atom

---

Record 5
A relaxed TlSnF3 crystal, computed with PBE. Values from VASP.

Structure (Quantum ESPRESSO input):
```
&SYSTEM
  ibrav = 0, nat = 10, ntyp = 3
/
ATOMIC_SPECIES
Tl 204.38 Tl.upf
Sn 118.71 Sn.upf
F 19.00 F.upf
CELL_PARAMETERS angstrom
4.743 0.000 0.000
-1.709 7.119 0.000
-0.549 -2.607 7.302
ATOMIC_POSITIONS crystal
Tl 0.142 0.232 0.380
Tl 0.858 0.768 0.620
Sn 0.330 0.677 0.163
Sn 0.670 0.323 0.837
F 0.249 0.161 0.702
F 0.265 0.641 0.425
F 0.438 0.402 0.118
F 0.562 0.598 0.882
F 0.735 0.359 0.575
F 0.751 0.839 0.298
```

Properties
Crystal system = triclinic
Magnetic moment = 0.0 μB/cell
Density of states at the Fermi level = 0.000 states/eV per atom
Calculated total energy = -4.498 eV/atom

---

Record 6
A relaxed Te2RhSeN crystal, computed with PBE. Values from VASP.

Structure (Quantum ESPRESSO input):
```
&SYSTEM
  ibrav = 0, nat = 5, ntyp = 4
/
ATOMIC_SPECIES
Te 127.60 Te.upf
Rh 102.91 Rh.upf
Se 78.96 Se.upf
N 14.01 N.upf
CELL_PARAMETERS angstrom
5.467 0.000 0.000
0.000 5.467 0.000
0.000 0.000 3.568
ATOMIC_POSITIONS crystal
Te 0.000 0.500 0.000
Te 0.500 0.000 0.000
Rh 0.000 0.000 0.500
Se 0.500 0.500 0.000
N 0.500 0.500 0.500
```

Properties
Crystal system = tetragonal
Magnetic moment = 0.0 μB/cell
Density of states at the Fermi level = 1.045 states/eV per atom
Calculated total energy = -3.946 eV/atom

---

Record 7
A relaxed CrAgTe4 crystal, computed with PBE. Values from VASP.

Structure (Quantum ESPRESSO input):
```
&SYSTEM
  ibrav = 0, nat = 6, ntyp = 3
/
ATOMIC_SPECIES
Cr 52.00 Cr.upf
Ag 107.87 Ag.upf
Te 127.60 Te.upf
CELL_PARAMETERS angstrom
5.491 0.000 0.000
0.000 4.128 0.000
-0.058 0.000 7.502
ATOMIC_POSITIONS crystal
Cr 0.000 0.000 0.000
Ag 0.000 0.500 0.500
Te 0.224 0.000 0.320
Te 0.291 0.500 0.882
Te 0.709 0.500 0.118
Te 0.776 0.000 0.680
```

Properties
Crystal system = monoclinic
Magnetic moment = 2.8 μB/cell
Density of states at the Fermi level = 0.352 states/eV per atom
Calculated total energy = -4.258 eV/atom

---

Record 8
A relaxed HfMgTi crystal, computed with PBE. Values from VASP.

Structure (Quantum ESPRESSO input):
```
&SYSTEM
  ibrav = 0, nat = 3, ntyp = 3
/
ATOMIC_SPECIES
Hf 178.49 Hf.upf
Mg 24.30 Mg.upf
Ti 47.87 Ti.upf
CELL_PARAMETERS angstrom
3.111 0.000 0.000
-1.556 2.695 0.000
0.000 0.000 7.496
ATOMIC_POSITIONS crystal
Hf 0.000 0.000 0.000
Mg 0.667 0.333 0.359
Ti 0.333 0.667 0.696
```

Properties
Crystal system = trigonal
Magnetic moment = 0.0 μB/cell
Density of states at the Fermi level = 0.698 states/eV per atom
DFT formation energy = 86 meV/atom

---

Record 9
A relaxed MnCdIN2 crystal, computed with PBE. Values from VASP.

Structure (Quantum ESPRESSO input):
```
&SYSTEM
  ibrav = 0, nat = 5, ntyp = 4
/
ATOMIC_SPECIES
Mn 54.94 Mn.upf
Cd 112.41 Cd.upf
I 126.90 I.upf
N 14.01 N.upf
CELL_PARAMETERS angstrom
3.848 0.000 0.000
0.000 3.848 0.000
0.000 0.000 5.622
ATOMIC_POSITIONS crystal
Mn 0.000 0.000 0.000
Cd 0.500 0.500 0.500
I 0.000 0.000 0.500
N 0.000 0.500 0.000
N 0.500 0.000 0.000
```

Properties
Crystal system = tetragonal
Magnetic moment = 0.2 μB/cell
Density of states at the Fermi level = 0.465 states/eV per atom
Calculated total energy = -4.777 eV/atom

---

Record 10
A relaxed MoSe2I crystal, computed with PBE. Values from VASP.

Structure (Quantum ESPRESSO input):
```
&SYSTEM
  ibrav = 0, nat = 4, ntyp = 3
/
ATOMIC_SPECIES
Mo 95.94 Mo.upf
Se 78.96 Se.upf
I 126.90 I.upf
CELL_PARAMETERS angstrom
1.665 0.961 12.076
-1.665 0.961 12.076
0.000 -1.922 12.076
ATOMIC_POSITIONS crystal
Mo 0.000 0.000 0.000
Se 0.380 0.380 0.380
Se 0.620 0.620 0.620
I 0.500 0.500 0.500
```

Properties
Crystal system = trigonal
Magnetic moment = 0.0 μB/cell
Density of states at the Fermi level = 0.445 states/eV per atom
Calculated total energy = -5.105 eV/atom

---

Record 11
A relaxed YTeCl2 crystal, computed with PBE. Values from VASP.

Structure (Quantum ESPRESSO input):
```
&SYSTEM
  ibrav = 0, nat = 4, ntyp = 3
/
ATOMIC_SPECIES
Y 88.91 Y.upf
Te 127.60 Te.upf
Cl 35.45 Cl.upf
CELL_PARAMETERS angstrom
0.000 3.680 3.680
3.680 0.000 3.680
3.680 3.680 0.000
ATOMIC_POSITIONS crystal
Y 0.000 0.000 0.000
Te 0.750 0.750 0.750
Cl 0.250 0.250 0.250
Cl 0.500 0.500 0.500
```

Properties
Crystal system = cubic
Magnetic moment = 0.0 μB/cell
Density of states at the Fermi level = 1.430 states/eV per atom
Calculated total energy = -4.334 eV/atom

---

Record 12
A relaxed TaCo crystal, computed with PBE. Values from VASP.

Structure (Quantum ESPRESSO input):
```
&SYSTEM
  ibrav = 0, nat = 26, ntyp = 2
/
ATOMIC_SPECIES
Ta 180.95 Ta.upf
Co 58.93 Co.upf
CELL_PARAMETERS angstrom
2.458 1.419 17.464
-2.458 1.419 17.464
0.000 -2.838 17.464
ATOMIC_POSITIONS crystal
Ta 0.000 0.000 0.000
Ta 0.083 0.083 0.083
Ta 0.172 0.172 0.172
Ta 0.224 0.224 0.224
Ta 0.274 0.274 0.274
Ta 0.326 0.326 0.326
Ta 0.418 0.418 0.418
Ta 0.582 0.582 0.582
Ta 0.674 0.674 0.674
Ta 0.726 0.726 0.726
Ta 0.776 0.776 0.776
Ta 0.828 0.828 0.828
Ta 0.917 0.917 0.917
Co 0.207 0.703 0.703
Co 0.210 0.210 0.697
Co 0.210 0.697 0.210
Co 0.297 0.297 0.793
Co 0.297 0.793 0.297
Co 0.303 0.790 0.790
Co 0.500 0.500 0.500
Co 0.697 0.210 0.210
Co 0.703 0.207 0.703
Co 0.703 0.703 0.207
Co 0.790 0.303 0.790
Co 0.790 0.790 0.303
Co 0.793 0.297 0.297
```

Properties
Crystal system = trigonal
Magnetic moment = 2.6 μB/cell
Density of states at the Fermi level = 1.327 states/eV per atom
DFT formation energy = -235 meV/atom